## Mn4Cu3AgO12 (PBE+U)

Data for crystalline Mn4Cu3AgO12 at its relaxed geometry.

```
20
Lattice="-3.6950 3.6950 3.6950 3.6950 -3.6950 3.6950 3.6950 3.6950 -3.6950" Properties=species:S:1:pos:R:3 pbc="T T T"
Mn 1.8475 1.8475 -1.8475
Mn 1.8475 -1.8475 1.8475
Mn -1.8475 1.8475 1.8475
Mn 1.8475 1.8475 1.8475
Cu 3.6950 0.0000 0.0000
Cu 0.0000 3.6950 0.0000
Cu 0.0000 0.0000 3.6950
Ag 0.0000 0.0000 0.0000
O 3.6950 -1.3582 2.4000
O 2.3368 1.2950 0.0000
O 5.0533 1.2950 0.0000
O 2.4000 3.6950 -1.3582
O 1.2950 0.0000 2.3368
O 0.0000 2.3368 1.2950
O 3.6950 1.3582 2.4000
O 2.4000 3.6950 1.3582
O 1.2950 0.0000 5.0533
O -1.3582 2.4000 3.6950
O 1.3582 2.4000 3.6950
O 0.0000 5.0533 1.2950
```

- Total moment: 13.99 μB/f.u.
- Symmetry: Im-3, No. 204
- Total energy: -6.169 eV/atom